This record from the Alexandria database describes a PBEsol-optimized structure of YCo2Si2. The functional is meta-GGA SCAN.

Properties
For the size of the total moment, the calculation gives 0.00 Bohr magnetons per cell. The value obtained for the formation energy without anion corrections is -0.793 eV per atom. The density of states at the Fermi level is 1.8 states/eV/f.u.

Unit cell a=5.5408 b=5.5408 c=5.5408 alpha=139.54 beta=139.54 gamma=58.55
Positions (direct):
Y: 0.0000 0.0000 0.0000
Co: 0.2500 0.7500 0.5000
Co: 0.7500 0.2500 0.5000
Si: 0.3714 0.3714 0.0000
Si: 0.6286 0.6286 0.0000